The following is a PBE calculation of a relaxed Si2Os2W crystal, from the Alexandria database.

Cell: 7.033 7.033 2.801 Å, 90.00 90.00 90.00°
Fractional positions:
1 Si 0.358 0.858 0.000
2 Si 0.858 0.642 0.000
3 Si 0.642 0.142 0.000
4 Si 0.142 0.358 0.000
5 Os 0.156 0.656 0.500
6 Os 0.656 0.844 0.500
7 Os 0.844 0.344 0.500
8 Os 0.344 0.156 0.500
9 W 0.000 0.000 0.000
10 W 0.500 0.500 0.000

Values from the calculation:
Its symmetry is P4/mbm. The density of states at the Fermi level is 6.5 states/eV per cell. As for the formation energy without anion corrections: -73.1 meV per atom.